*A*
Crystalline Pr3SmPb2 at its relaxed geometry. Source: Alexandria, functional PBE.

a b c (Å): 7.460 8.026 9.335
angles (deg): 115.46 113.55 90.00
Element x y z (fractional)
Pb 0.464 0.642 0.285
Pb 0.821 0.142 0.285
Pb 0.536 0.358 0.715
Pb 0.179 0.858 0.715
Pr 0.500 0.750 0.000
Pr 0.791 0.541 0.582
Pr 0.209 0.959 0.418
Pr 0.500 0.250 0.000
Pr 0.209 0.459 0.418
Pr 0.791 0.041 0.582
Sm 0.000 0.000 0.000
Sm 0.000 0.500 0.000

calculated volume = 37.71 Å³ per atom
space group = Ibam (72)

*B*
Crystalline Pr3SmPb2 at its relaxed geometry. Source: Alexandria, functional PBE.

a b c (Å): 4.713 4.713 8.977
angles (deg): 90.00 90.00 90.00
Element x y z (fractional)
Pr 0.500 0.000 0.348
Pr 0.000 0.000 0.000
Pr 0.000 0.500 0.652
Pb 0.000 0.500 0.282
Pb 0.500 0.000 0.718
Sm 0.500 0.500 0.000

calculated volume = 33.24 Å³ per atom
space group = P-4m2 (115)

Of them, *B* has the highest stability.

*A*
Crystalline PrSmPb at its relaxed geometry. Source: Alexandria, functional PBE.

a b c (Å): 3.971 5.332 5.332
angles (deg): 120.00 90.00 90.00
Element x y z (fractional)
Pb 0.700 0.667 0.333
Pr 0.373 0.333 0.667
Sm 0.927 0.000 0.000

calculated volume = 32.58 Å³ per atom
space group = P3m1 (156)

*B*
Crystalline PrSmPb at its relaxed geometry. Source: Alexandria, functional PBE.

a b c (Å): 4.698 4.698 8.915
angles (deg): 90.00 90.00 90.00
Element x y z (fractional)
Pb 0.500 0.000 0.779
Pb 0.000 0.500 0.221
Pr 0.000 0.500 0.847
Pr 0.500 0.000 0.153
Sm 0.000 0.000 0.500
Sm 0.500 0.500 0.500

calculated volume = 32.80 Å³ per atom
space group = P4/nmm (129)

Of them, *B* has the highest stability.

*A*
Crystalline PrSmPb at its relaxed geometry. Source: Alexandria, functional PBE.

a b c (Å): 4.669 4.669 8.952
angles (deg): 90.00 90.00 90.00
Element x y z (fractional)
Sm 0.500 0.000 0.349
Sm 0.000 0.500 0.651
Pr 0.500 0.500 0.000
Pr 0.000 0.000 0.000
Pb 0.500 0.000 0.712
Pb 0.000 0.500 0.288

calculated volume = 32.52 Å³ per atom
space group = P4/nmm (129)

*B*
Crystalline PrSmPb at its relaxed geometry. Source: Alexandria, functional PBE.

a b c (Å): 4.248 4.248 5.909
angles (deg): 111.07 111.07 90.00
Element x y z (fractional)
Pr 0.941 0.941 0.882
Sm 0.628 0.628 0.256
Pb 0.281 0.281 0.562

calculated volume = 30.60 Å³ per atom
space group = I4mm (107)

Of them, *A* has the highest stability.

*A*
Crystalline Pr2SmPb2 at its relaxed geometry. Source: Alexandria, functional PBE.

a b c (Å): 4.946 7.026 10.604
angles (deg): 77.23 76.51 69.39
Element x y z (fractional)
Pb 0.868 0.688 0.576
Pb 0.132 0.312 0.424
Pb 0.043 0.803 0.111
Pb 0.957 0.197 0.889
Sm 0.789 0.078 0.345
Sm 0.211 0.922 0.655
Pr 0.318 0.276 0.087
Pr 0.491 0.341 0.677
Pr 0.682 0.724 0.913
Pr 0.509 0.659 0.323

calculated volume = 33.14 Å³ per atom
space group = C2/m (12)

*B*
Crystalline Pr2SmPb2 at its relaxed geometry. Source: Alexandria, functional PBE.

a b c (Å): 5.280 5.280 13.433
angles (deg): 90.00 90.00 120.00
Element x y z (fractional)
Sm 0.000 0.000 0.250
Sm 0.000 0.000 0.750
Pr 0.000 0.000 0.000
Pr 0.667 0.333 0.750
Pr 0.333 0.667 0.250
Pr 0.000 0.000 0.500
Pb 0.667 0.333 0.124
Pb 0.333 0.667 0.876
Pb 0.667 0.333 0.376
Pb 0.333 0.667 0.624

calculated volume = 32.43 Å³ per atom
space group = P6_3/mmc (194)

Of them, *A* has the highest stability.

*A*
Crystalline Pr5Sn2Pb2 at its relaxed geometry. Source: Alexandria, functional PBE.

a b c (Å): 8.510 8.525 9.172
angles (deg): 90.00 62.36 90.00
Element x y z (fractional)
Pb 0.208 0.000 0.585
Pb 0.708 0.500 0.585
Pb 0.292 0.500 0.415
Pb 0.792 0.000 0.415
Pr 0.461 0.171 0.728
Pr 0.000 0.000 0.000
Pr 0.539 0.829 0.272
Pr 0.500 0.500 0.000
Pr 0.811 0.829 0.728
Pr 0.689 0.329 0.272
Pr 0.189 0.171 0.272
Pr 0.039 0.671 0.272
Pr 0.311 0.671 0.728
Pr 0.961 0.329 0.728
Sn 0.873 0.628 0.000
Sn 0.373 0.872 0.000
Sn 0.127 0.372 0.000
Sn 0.627 0.128 0.000

calculated volume = 32.75 Å³ per atom
space group = Cmce (64)

*B*
Crystalline Pr5Sn2Pb2 at its relaxed geometry. Source: Alexandria, functional PBE.

a b c (Å): 8.425 8.263 10.572
angles (deg): 113.00 113.48 90.00
Element x y z (fractional)
Pr 0.335 0.021 0.316
Pr 0.480 0.521 0.316
Pr 0.900 0.271 0.500
Pr 0.259 0.659 0.879
Pr 0.665 0.706 0.684
Pr 0.880 0.280 0.121
Pr 0.120 0.159 0.879
Pr 0.741 0.780 0.121
Pr 0.100 0.771 0.500
Pr 0.520 0.206 0.684
Pb 0.744 0.920 0.500
Pb 0.500 0.400 0.000
Pb 0.000 0.900 0.000
Pb 0.256 0.420 0.500
Sn 0.456 0.957 0.835
Sn 0.544 0.122 0.165
Sn 0.879 0.457 0.835
Sn 0.121 0.622 0.165

calculated volume = 33.93 Å³ per atom
space group = Ima2 (46)

Of them, *A* has the highest stability.

*A*
Crystalline Pr2SnPb at its relaxed geometry. Source: Alexandria, functional PBE.

a b c (Å): 3.591 3.591 9.290
angles (deg): 90.00 90.00 90.00
Element x y z (fractional)
Pr 0.000 0.000 0.760
Pr 0.000 0.000 0.240
Sn 0.500 0.500 0.000
Pb 0.500 0.500 0.500

calculated volume = 29.95 Å³ per atom
space group = P4/mmm (123)

*B*
Crystalline Pr2SnPb at its relaxed geometry. Source: Alexandria, functional PBE.

a b c (Å): 4.491 6.426 9.441
angles (deg): 111.59 90.00 90.00
Element x y z (fractional)
Pr 0.750 0.235 0.930
Pr 0.250 0.765 0.070
Pr 0.750 0.228 0.436
Pr 0.250 0.772 0.564
Pb 0.750 0.687 0.796
Pb 0.250 0.313 0.204
Sn 0.750 0.681 0.295
Sn 0.250 0.319 0.705

calculated volume = 31.67 Å³ per atom
space group = P2_1/m (11)

*C*
Crystalline Pr2SnPb at its relaxed geometry. Source: Alexandria, functional PBE.

a b c (Å): 5.586 5.586 5.586
angles (deg): 60.00 60.00 60.00
Element x y z (fractional)
Pr 0.750 0.750 0.750
Pr 0.250 0.250 0.250
Sn 0.500 0.500 0.500
Pb 0.000 0.000 0.000

calculated volume = 30.82 Å³ per atom
space group = Fm-3m (225)

Of them, *B* has the highest stability.

*A*
Crystalline Pr2SnPb at its relaxed geometry. Source: Alexandria, functional PBE.

a b c (Å): 4.602 5.105 5.105
angles (deg): 90.00 90.00 90.00
Element x y z (fractional)
Pb 0.500 0.000 0.000
Pr 0.000 0.000 0.500
Pr 0.000 0.500 0.000
Sn 0.500 0.500 0.500

calculated volume = 29.98 Å³ per atom
space group = P4/mmm (123)

*B*
Crystalline Pr2SnPb at its relaxed geometry. Source: Alexandria, functional PBE.

a b c (Å): 5.215 5.215 6.225
angles (deg): 65.23 65.23 60.00
Element x y z (fractional)
Sn 0.000 0.000 0.000
Pb 0.500 0.500 0.500
Pr 0.252 0.252 0.243
Pr 0.748 0.748 0.757

calculated volume = 32.08 Å³ per atom
space group = R-3m (166)

Of them, *A* has the highest stability.

*A*
Crystalline PrSn2Pb at its relaxed geometry. Source: Alexandria, functional PBE.

a b c (Å): 4.775 4.886 4.886
angles (deg): 90.00 90.00 90.00
Element x y z (fractional)
Sn 0.000 0.000 0.500
Sn 0.000 0.500 0.000
Pr 0.500 0.000 0.000
Pb 0.500 0.500 0.500

calculated volume = 28.50 Å³ per atom
space group = P4/mmm (123)

*B*
Crystalline PrSn2Pb at its relaxed geometry. Source: Alexandria, functional PBE.

a b c (Å): 5.223 5.223 8.410
angles (deg): 71.91 71.91 60.00
Element x y z (fractional)
Pb 0.000 0.000 0.000
Sn 0.122 0.122 0.635
Sn 0.878 0.878 0.365
Pr 0.500 0.500 0.500

calculated volume = 46.36 Å³ per atom
space group = R-3m (166)

Of them, *A* has the highest stability.